{"formula": "CsNaAsPt", "functional": "PBE", "state": "optimized geometry", "n_ef_per_ev_atom": 0.716, "final_energy_ev_per_atom": -3.5771, "formation_energy_mev_per_atom": -361, "lattice": [[-1.0542, -3.6160, -2.2729], [2.8684, -1.7135, -2.8617], [3.4750, -6.0182, 3.7053]], "species": ["Cs", "Na", "As", "Pt"], "frac_coords": [[0.8278, 0.8278, 0.5167], [0.0111, 0.0111, 0.9666], [0.6093, 0.6093, 0.1720], [0.2776, 0.2776, 0.1671]]}

=====

{"formula": "La2ZrCl", "functional": "PBE", "state": "optimized geometry", "n_ef_per_ev_atom": 0.934, "formation_energy_uncorrected_ev_per_atom": -0.52, "final_energy_ev_per_atom": -5.5868, "polymorph_energy_ev_per_atom": 0.055, "lattice": [[-1.1161, 3.1138, -1.1130], [-3.5956, 0.1058, 3.9017], [4.0176, 2.7369, 3.6282]], "species": ["Cl", "La", "La", "Zr"], "frac_coords": [[0.5000, 0.5000, 0.8749], [0.0000, 0.0000, 0.8749], [0.5000, 0.5000, 0.3751], [0.0000, 0.0000, 0.3751]]}